(1)
{"formula": "FeCuRe2", "functional": "PBE-GGA", "state": "optimized geometry", "polymorph_energy_ev_per_atom": 0.0688, "total_magnetization_mub_per_fu": 2.26, "delta_e_f_ev_per_atom": 0.228, "lattice_angstrom": [[-2.223, -2.162, -0.267], [1.681, -1.945, 1.753], [-2.475, 1.982, 4.572]], "species": ["Cu", "Re", "Re", "Fe"], "frac_coords": [[0.000, 0.000, 0.519], [0.000, 0.000, 0.997], [0.500, 0.500, 0.258], [0.500, 0.500, 0.726]]}

---

(2)
{"formula": "FeCu2Re", "functional": "PBE-GGA", "state": "optimized geometry", "polymorph_energy_ev_per_atom": 0.3858, "total_magnetization_mub_per_fu": 0.00, "delta_e_f_ev_per_atom": 0.571, "lattice_angstrom": [[0.000, 2.908, 2.908], [2.908, 0.000, 2.908], [2.908, 2.908, 0.000]], "species": ["Fe", "Re", "Cu", "Cu"], "frac_coords": [[0.000, 0.000, 0.000], [0.500, 0.500, 0.500], [0.250, 0.250, 0.250], [0.750, 0.750, 0.750]]}

---

(3)
{"formula": "Fe2CuRe", "functional": "PBE-GGA", "state": "optimized geometry", "polymorph_energy_ev_per_atom": 0.0082, "total_magnetization_mub_per_fu": 4.80, "delta_e_f_ev_per_atom": 0.182, "lattice_angstrom": [[2.559, 0.036, 0.000], [-0.732, 2.452, 0.000], [0.000, 0.000, 8.143]], "species": ["Re", "Fe", "Fe", "Cu"], "frac_coords": [[0.000, 0.000, 0.494], [0.500, 0.500, 0.239], [0.000, 0.000, 0.005], [0.500, 0.500, 0.761]]}

---

(4)
{"formula": "Fe2CuRe2", "functional": "PBE-GGA", "state": "optimized geometry", "polymorph_energy_ev_per_atom": 0.0999, "total_magnetization_mub_per_fu": 0.48, "delta_e_f_ev_per_atom": 0.363, "lattice_angstrom": [[7.231, 0.000, 0.000], [0.000, 7.231, 0.000], [0.000, 0.000, 2.612]], "species": ["Fe", "Fe", "Fe", "Fe", "Re", "Re", "Re", "Re", "Cu", "Cu"], "frac_coords": [[0.665, 0.835, 0.500], [0.835, 0.335, 0.500], [0.335, 0.165, 0.500], [0.165, 0.665, 0.500], [0.372, 0.872, 0.000], [0.628, 0.128, 0.000], [0.128, 0.372, 0.000], [0.872, 0.628, 0.000], [0.000, 0.000, 0.000], [0.500, 0.500, 0.000]]}

---

(5)
{"formula": "Fe2CuRe", "functional": "PBE-GGA", "state": "optimized geometry", "polymorph_energy_ev_per_atom": 0.0601, "total_magnetization_mub_per_fu": 0.00, "delta_e_f_ev_per_atom": 0.234, "lattice_angstrom": [[0.000, 2.877, 2.877], [2.877, 0.000, 2.877], [2.877, 2.877, 0.000]], "species": ["Re", "Fe", "Fe", "Cu"], "frac_coords": [[0.500, 0.500, 0.500], [0.750, 0.750, 0.750], [0.250, 0.250, 0.250], [0.000, 0.000, 0.000]]}

---

(6)
{"formula": "FeCuRe2", "functional": "PBE-GGA", "state": "optimized geometry", "polymorph_energy_ev_per_atom": 0.2087, "total_magnetization_mub_per_fu": 2.00, "delta_e_f_ev_per_atom": 0.368, "lattice_angstrom": [[2.440, 0.801, 3.349], [-1.569, 2.119, 3.295], [-0.705, -1.997, 3.650]], "species": ["Re", "Re", "Fe", "Cu"], "frac_coords": [[0.250, 0.250, 0.250], [0.750, 0.750, 0.750], [0.000, 0.000, 0.000], [0.500, 0.500, 0.500]]}

---

(7)
{"formula": "Fe2CuRe", "functional": "PBE-GGA", "state": "optimized geometry", "polymorph_energy_ev_per_atom": 0.0218, "total_magnetization_mub_per_fu": 2.33, "delta_e_f_ev_per_atom": 0.196, "lattice_angstrom": [[-3.770, -2.035, -1.083], [-2.068, -1.132, 3.738], [1.684, 3.867, -1.321]], "species": ["Fe", "Fe", "Re", "Cu"], "frac_coords": [[0.000, 0.000, 0.000], [0.500, 0.500, 0.000], [0.750, 0.250, 0.500], [0.250, 0.750, 0.500]]}

---

(8)
{"formula": "Fe2CuRe", "functional": "PBE-GGA", "state": "optimized geometry", "polymorph_energy_ev_per_atom": 0.0241, "total_magnetization_mub_per_fu": 3.31, "delta_e_f_ev_per_atom": 0.198, "lattice_angstrom": [[-1.110, 2.329, 0.325], [0.161, -0.437, 3.680], [4.642, 2.204, 0.059]], "species": ["Fe", "Fe", "Cu", "Re"], "frac_coords": [[0.000, 0.000, 0.999], [0.500, 0.500, 0.256], [0.500, 0.500, 0.762], [0.000, 0.000, 0.483]]}

---

(9)
{"formula": "FeCuRe2", "functional": "PBE-GGA", "state": "optimized geometry", "polymorph_energy_ev_per_atom": 0.1395, "total_magnetization_mub_per_fu": 1.90, "delta_e_f_ev_per_atom": 0.299, "lattice_angstrom": [[4.255, 0.000, 0.000], [2.128, 3.685, 0.000], [2.128, 1.228, 3.475]], "species": ["Fe", "Cu", "Re", "Re"], "frac_coords": [[0.750, 0.750, 0.750], [0.500, 0.500, 0.500], [0.000, 0.000, 0.000], [0.250, 0.250, 0.250]]}

---

(10)
{"formula": "FeCu2Re", "functional": "PBE-GGA", "state": "optimized geometry", "polymorph_energy_ev_per_atom": 0.0000, "total_magnetization_mub_per_fu": 2.23, "delta_e_f_ev_per_atom": 0.185, "lattice_angstrom": [[-2.520, -0.715, 0.180], [0.735, -2.396, 0.782], [-0.137, 2.244, 7.007]], "species": ["Cu", "Cu", "Fe", "Re"], "frac_coords": [[0.000, 0.000, 0.012], [0.500, 0.500, 0.252], [0.000, 0.000, 0.492], [0.500, 0.500, 0.744]]}

---

(11)
{"formula": "FeCuRe2", "functional": "PBE-GGA", "state": "optimized geometry", "polymorph_energy_ev_per_atom": 0.0753, "total_magnetization_mub_per_fu": 1.56, "delta_e_f_ev_per_atom": 0.235, "lattice_angstrom": [[4.646, -0.001, 0.004], [3.898, 2.527, 0.004], [0.726, 0.215, 4.572]], "species": ["Fe", "Re", "Re", "Cu"], "frac_coords": [[0.746, 0.746, 0.745], [0.008, 0.008, 0.997], [0.250, 0.250, 0.249], [0.497, 0.497, 0.509]]}

---

(12)
{"formula": "Fe2CuRe", "functional": "PBE-GGA", "state": "optimized geometry", "polymorph_energy_ev_per_atom": 0.0589, "total_magnetization_mub_per_fu": 3.41, "delta_e_f_ev_per_atom": 0.233, "lattice_angstrom": [[8.550, 0.004, 0.002], [8.141, 2.613, 0.002], [8.141, 1.276, 2.280]], "species": ["Cu", "Re", "Fe", "Fe"], "frac_coords": [[0.250, 0.250, 0.250], [0.750, 0.750, 0.750], [0.999, 0.999, 0.999], [0.501, 0.501, 0.501]]}

---

(13)
{"formula": "Fe2CuRe", "functional": "PBE-GGA", "state": "optimized geometry", "polymorph_energy_ev_per_atom": 0.0018, "total_magnetization_mub_per_fu": 3.64, "delta_e_f_ev_per_atom": 0.176, "lattice_angstrom": [[2.641, 0.000, 0.000], [0.000, 2.641, 0.000], [0.000, 0.000, 7.168]], "species": ["Fe", "Fe", "Cu", "Re"], "frac_coords": [[0.000, 0.000, 0.506], [0.000, 0.000, 0.994], [0.500, 0.500, 0.750], [0.500, 0.500, 0.250]]}

---

(14)
{"formula": "FeCu2Re", "functional": "PBE-GGA", "state": "optimized geometry", "polymorph_energy_ev_per_atom": 0.1264, "total_magnetization_mub_per_fu": 1.01, "delta_e_f_ev_per_atom": 0.311, "lattice_angstrom": [[-0.814, -3.248, -2.843], [-0.790, -3.546, 2.468], [-1.786, 4.006, 0.235]], "species": ["Cu", "Cu", "Fe", "Re"], "frac_coords": [[0.750, 0.250, 0.500], [0.000, 0.000, 0.000], [0.500, 0.500, 0.000], [0.250, 0.750, 0.500]]}

---

(15)
{"formula": "Fe2CuRe", "functional": "PBE-GGA", "state": "optimized geometry", "polymorph_energy_ev_per_atom": 0.0739, "total_magnetization_mub_per_fu": 3.90, "delta_e_f_ev_per_atom": 0.248, "lattice_angstrom": [[-4.708, -0.984, 0.921], [-2.278, -3.155, -2.973], [3.682, 0.696, 3.153]], "species": ["Re", "Fe", "Fe", "Cu"], "frac_coords": [[0.512, 0.512, 0.000], [0.760, 0.260, 0.500], [0.989, 0.989, 0.000], [0.240, 0.740, 0.500]]}

---

(16)
{"formula": "FeCu2Re", "functional": "PBE-GGA", "state": "optimized geometry", "polymorph_energy_ev_per_atom": 0.1461, "total_magnetization_mub_per_fu": 1.99, "delta_e_f_ev_per_atom": 0.331, "lattice_angstrom": [[5.112, 0.005, -0.004], [2.589, 4.408, 0.004], [-3.280, -3.201, 2.264]], "species": ["Cu", "Cu", "Fe", "Re"], "frac_coords": [[0.509, 0.509, 0.000], [0.991, 0.991, 0.000], [0.750, 0.250, 0.500], [0.250, 0.750, 0.500]]}

---

(17)
{"formula": "FeCu4Re", "functional": "PBE-GGA", "state": "optimized geometry", "total_magnetization_mub_per_fu": 1.32, "delta_e_f_ev_per_atom": 0.363, "lattice_angstrom": [[1.813, -0.722, 4.296], [-2.622, 0.821, 3.835], [-1.528, -3.607, 2.630]], "species": ["Fe", "Cu", "Cu", "Cu", "Cu", "Re"], "frac_coords": [[0.750, 0.750, 0.750], [0.875, 0.375, 0.375], [0.375, 0.375, 0.375], [0.375, 0.375, 0.875], [0.375, 0.875, 0.375], [0.000, 0.000, 0.000]]}

---

(18)
{"formula": "FeCuRe2", "functional": "PBE-GGA", "state": "optimized geometry", "polymorph_energy_ev_per_atom": 0.0605, "total_magnetization_mub_per_fu": 1.34, "delta_e_f_ev_per_atom": 0.220, "lattice_angstrom": [[-1.242, 0.236, -8.696], [-1.556, -2.406, -8.307], [-3.639, -0.740, -7.964]], "species": ["Fe", "Re", "Re", "Cu"], "frac_coords": [[0.750, 0.750, 0.750], [0.003, 0.003, 0.003], [0.497, 0.497, 0.497], [0.250, 0.250, 0.250]]}

---

(19)
{"formula": "FeCuRe2", "functional": "PBE-GGA", "state": "optimized geometry", "polymorph_energy_ev_per_atom": 0.6590, "total_magnetization_mub_per_fu": 0.00, "delta_e_f_ev_per_atom": 0.819, "lattice_angstrom": [[6.764, 0.000, 0.000], [0.000, 6.764, 0.000], [3.382, 3.382, 2.528]], "species": ["Re", "Re", "Re", "Re", "Cu", "Cu", "Fe", "Fe"], "frac_coords": [[0.160, 0.625, 0.250], [0.875, 0.840, 0.750], [0.375, 0.410, 0.750], [0.590, 0.125, 0.250], [0.750, 0.250, 0.500], [0.000, 0.000, 0.000], [0.250, 0.750, 0.500], [0.500, 0.500, 0.000]]}

---

(20)
{"formula": "Fe2CuRe", "functional": "PBE-GGA", "state": "optimized geometry", "polymorph_energy_ev_per_atom": 0.0423, "total_magnetization_mub_per_fu": 4.06, "delta_e_f_ev_per_atom": 0.216, "lattice_angstrom": [[4.459, 0.006, -0.019], [3.700, 2.488, -0.019], [0.667, 0.204, 4.511]], "species": ["Cu", "Fe", "Fe", "Re"], "frac_coords": [[0.250, 0.250, 0.250], [0.501, 0.501, 0.498], [0.999, 0.999, 0.002], [0.750, 0.750, 0.750]]}